# NdThSn2 | the Alexandria database | GGA-PBE | relaxed
data_NdThSn2
_chemical_formula_sum 'Nd3 Th3 Sn6'
_space_group_name_H-M_alt 'R -3 m'
_space_group_IT_number 166
_space_group_name_Hall '-R 3 2"'
_cell_length_a 3.5734
_cell_length_b 3.5734
_cell_length_c 32.0094
_cell_angle_alpha 90.00
_cell_angle_beta 90.00
_cell_angle_gamma 120.00
loop_
_atom_site_label
_atom_site_type_symbol
_atom_site_fract_x
_atom_site_fract_y
_atom_site_fract_z
_atom_site_occupancy
Nd1 Nd 0.0000 0.0000 0.0000 1
Th1 Th 0.0000 0.0000 0.5000 1
Sn1 Sn 0.0000 0.0000 0.2506 1
# Formation energy = -0.40 eV per atom
# Crystal system = trigonal
# Total energy = -5.44 eV/atom
# Magnetization = 0.000 Bohr magnetons per cell
# Energy above the most stable polymorph in this dataset = 265.8 meV per atom

=====

# CeY2UAs4 | the Alexandria database | GGA-PBE | relaxed
data_CeY2UAs4
_chemical_formula_sum 'Ce1 Y2 U1 As4'
_space_group_name_H-M_alt 'P 1 2/m 1'
_space_group_IT_number 10
_space_group_name_Hall '-P 2y'
_cell_length_a 7.157
_cell_length_b 4.125
_cell_length_c 7.192
_cell_angle_alpha 90.00
_cell_angle_beta 109.29
_cell_angle_gamma 90.00
loop_
_atom_site_label
_atom_site_type_symbol
_atom_site_fract_x
_atom_site_fract_y
_atom_site_fract_z
_atom_site_occupancy
Ce1 Ce 0.000 0.000 0.000 1
Y1 Y 0.000 0.500 0.500 1
Y2 Y 0.500 0.000 0.500 1
U1 U 0.500 0.500 0.000 1
As1 As 0.255 0.000 0.751 1
As2 As 0.255 0.500 0.251 1
# Formation energy = -1.31 eV per atom
# Crystal system = monoclinic
# Total energy = -7.41 eV/atom
# Magnetization = 3.139 Bohr magnetons per cell

=====

# SrTlHg3 | the Alexandria database | GGA-PBE | relaxed
data_SrTlHg3
_chemical_formula_sum 'Sr2 Tl2 Hg6'
_space_group_name_H-M_alt 'P 1 21/m 1'
_space_group_IT_number 11
_space_group_name_Hall '-P 2yb'
_cell_length_a 5.437
_cell_length_b 5.481
_cell_length_c 9.877
_cell_angle_alpha 90.00
_cell_angle_beta 105.89
_cell_angle_gamma 90.00
loop_
_atom_site_label
_atom_site_type_symbol
_atom_site_fract_x
_atom_site_fract_y
_atom_site_fract_z
_atom_site_occupancy
Sr1 Sr 0.148 0.250 0.292 1
Tl1 Tl 0.350 0.250 0.698 1
Hg1 Hg 0.039 0.750 0.084 1
Hg2 Hg 0.246 0.750 0.496 1
Hg3 Hg 0.455 0.750 0.915 1
# Formation energy = -0.31 eV per atom
# Crystal system = monoclinic
# Total energy = -1.30 eV/atom
# Magnetization = 0.000 Bohr magnetons per cell
# Energy above the most stable polymorph in this dataset = 0.0 meV per atom